a) First-principles (PBE) data for an optimized crystal structure of CuGe2Os, as listed in the Alexandria database.

POSCAR file:
```
CuGe2Os
1.0
1.509 0.871 8.465
-1.509 0.871 8.465
0.000 -1.742 8.465
Cu Ge Os
1 2 1
direct
0.000 0.000 0.000
0.093 0.093 0.093
0.907 0.907 0.907
0.500 0.500 0.500
```

Computed properties:
Space group = R-3m (166)
Crystal system = trigonal

---

b) First-principles (PBE) data for an optimized crystal structure of CuGe2Os, as listed in the Alexandria database.

POSCAR file:
```
CuGe2Os
1.0
-2.805 2.805 5.439
2.805 -2.805 5.439
2.805 2.805 -5.439
Cu Ge Os
2 4 2
direct
0.000 0.000 0.000
0.750 0.250 0.500
0.133 0.625 0.008
0.375 0.383 0.508
0.617 0.125 0.992
0.875 0.867 0.492
0.250 0.750 0.500
0.500 0.500 0.000
```

Computed properties:
Space group = I-42d (122)
Crystal system = tetragonal

---

c) First-principles (PBE) data for an optimized crystal structure of CuGe2Os, as listed in the Alexandria database.

POSCAR file:
```
CuGe2Os
1.0
0.000 3.083 3.083
3.083 0.000 3.083
3.083 3.083 0.000
Cu Ge Os
1 2 1
direct
0.000 0.000 0.000
0.250 0.250 0.250
0.750 0.750 0.750
0.500 0.500 0.500
```

Computed properties:
Space group = Fm-3m (225)
Crystal system = cubic

---

Most stable structure - a); separation to the second - 132 meV per atom.

---

a) First-principles (PBE) data for an optimized crystal structure of Cu3GeP, as listed in the Alexandria database.

POSCAR file:
```
Cu3GeP
1.0
4.383 0.000 0.000
0.000 4.383 0.000
0.000 0.000 4.383
Cu Ge P
3 1 1
direct
0.000 0.000 0.500
0.000 0.500 0.000
0.500 0.000 0.000
0.500 0.500 0.500
0.000 0.000 0.000
```

Computed properties:
Space group = Pm-3m (221)
Crystal system = cubic

---

b) First-principles (PBE) data for an optimized crystal structure of Cu3GeP, as listed in the Alexandria database.

POSCAR file:
```
Cu3GeP
1.0
4.486 0.000 0.000
0.000 4.486 0.000
0.000 0.000 4.486
Cu Ge P
3 1 1
direct
0.000 0.000 0.500
0.000 0.500 0.000
0.500 0.000 0.000
0.000 0.000 0.000
0.500 0.500 0.500
```

Computed properties:
Space group = Pm-3m (221)
Crystal system = cubic

---

Most stable structure - a); separation to the second - 509 meV per atom.

---

a) First-principles (PBE) data for an optimized crystal structure of CuGeP2S, as listed in the Alexandria database.

POSCAR file:
```
CuGeP2S
1.0
4.480 0.000 0.000
0.000 4.480 0.000
0.000 0.000 4.850
Cu Ge P S
1 1 2 1
direct
0.000 0.000 0.000
0.500 0.500 0.000
0.000 0.500 0.500
0.500 0.000 0.500
0.500 0.500 0.500
```

Computed properties:
Space group = P4/mmm (123)
Crystal system = tetragonal

---

b) First-principles (PBE) data for an optimized crystal structure of CuGeP2S, as listed in the Alexandria database.

POSCAR file:
```
CuGeP2S
1.0
4.423 0.000 0.000
0.000 4.423 0.000
0.000 0.000 4.838
Cu Ge P S
1 1 2 1
direct
0.000 0.000 0.000
0.500 0.500 0.500
0.000 0.500 0.000
0.500 0.000 0.000
0.000 0.000 0.500
```

Computed properties:
Space group = P4/mmm (123)
Crystal system = tetragonal

---

Most stable structure - b); separation to the second - 219 meV per atom.

---

a) First-principles (PBE) data for an optimized crystal structure of Pa2CuGe2, as listed in the Alexandria database.

POSCAR file:
```
Pa2CuGe2
1.0
5.275 -2.054 0.000
5.275 2.054 0.000
-4.040 0.000 9.610
Pa Cu Ge
4 2 4
direct
0.072 0.072 0.414
0.311 0.311 0.856
0.689 0.689 0.144
0.928 0.928 0.586
0.416 0.416 0.184
0.584 0.584 0.816
0.048 0.048 0.908
0.330 0.330 0.365
0.670 0.670 0.635
0.952 0.952 0.092
```

Computed properties:
Space group = C2/m (12)
Crystal system = monoclinic

---

b) First-principles (PBE) data for an optimized crystal structure of Pa2CuGe2, as listed in the Alexandria database.

POSCAR file:
```
Pa2CuGe2
1.0
2.244 -7.558 0.000
2.244 7.558 0.000
0.000 0.000 6.281
Pa Cu Ge
4 2 4
direct
0.006 0.994 0.500
0.196 0.804 0.776
0.804 0.196 0.276
0.994 0.006 0.000
0.395 0.605 0.657
0.605 0.395 0.157
0.174 0.826 0.259
0.428 0.572 0.254
0.572 0.428 0.754
0.826 0.174 0.759
```

Computed properties:
Space group = Cmc2_1 (36)
Crystal system = orthorhombic

---

Most stable structure - a); separation to the second - 100 meV per atom.

---

a) First-principles (PBE) data for an optimized crystal structure of Pa3Cu2Ge4, as listed in the Alexandria database.

POSCAR file:
```
Pa3Cu2Ge4
1.0
-1.959 3.522 6.893
1.959 -3.522 6.893
1.959 3.522 -6.893
Pa Cu Ge
3 2 4
direct
0.000 0.000 0.000
0.345 0.845 0.500
0.655 0.155 0.500
0.335 0.500 0.835
0.665 0.500 0.165
0.028 0.350 0.678
0.329 0.650 0.678
0.671 0.350 0.322
0.972 0.650 0.322
```

Computed properties:
Space group = Immm (71)
Crystal system = orthorhombic

---

b) First-principles (PBE) data for an optimized crystal structure of Pa3Cu2Ge4, as listed in the Alexandria database.

POSCAR file:
```
Pa3Cu2Ge4
1.0
5.355 -2.078 0.000
5.355 2.078 0.000
-1.774 0.000 7.990
Pa Cu Ge
3 2 4
direct
0.000 0.000 0.000
0.336 0.336 0.330
0.664 0.664 0.670
0.387 0.387 0.714
0.613 0.613 0.286
0.062 0.062 0.388
0.284 0.284 0.937
0.716 0.716 0.063
0.938 0.938 0.612
```

Computed properties:
Space group = C2/m (12)
Crystal system = monoclinic

---

Most stable structure - b); separation to the second - 185 meV per atom.

---

a) First-principles (PBE) data for an optimized crystal structure of PuPaCuGe, as listed in the Alexandria database.

POSCAR file:
```
PuPaCuGe
1.0
4.674 0.000 0.000
-2.337 4.048 0.000
0.000 0.000 4.873
Pu Pa Cu Ge
1 1 1 1
direct
0.000 0.000 0.000
0.333 0.667 0.518
0.667 0.333 0.759
0.667 0.333 0.257
```

Computed properties:
Space group = P3m1 (156)
Crystal system = trigonal

---

b) First-principles (PBE) data for an optimized crystal structure of PuPaCuGe, as listed in the Alexandria database.

POSCAR file:
```
PuPaCuGe
1.0
0.000 3.505 3.505
3.505 0.000 3.505
3.505 3.505 0.000
Pu Pa Cu Ge
1 1 1 1
direct
0.000 0.000 0.000
0.500 0.500 0.500
0.250 0.250 0.250
0.750 0.750 0.750
```

Computed properties:
Space group = F-43m (216)
Crystal system = cubic

---

Most stable structure - b); separation to the second - 162 meV per atom.

---

a) First-principles (PBE) data for an optimized crystal structure of Cu2Ge2Pb, as listed in the Alexandria database.

POSCAR file:
```
Cu2Ge2Pb
1.0
7.941 0.000 0.000
0.000 7.941 0.000
0.000 0.000 2.962
Cu Ge Pb
4 4 2
direct
0.137 0.363 0.000
0.363 0.863 0.000
0.637 0.137 0.000
0.863 0.637 0.000
0.143 0.643 0.500
0.357 0.143 0.500
0.643 0.857 0.500
0.857 0.357 0.500
0.000 0.000 0.500
0.500 0.500 0.500
```

Computed properties:
Space group = P4/mbm (127)
Crystal system = tetragonal

---

b) First-principles (PBE) data for an optimized crystal structure of Cu2Ge2Pb, as listed in the Alexandria database.

POSCAR file:
```
Cu2Ge2Pb
1.0
-2.111 2.111 5.289
2.111 -2.111 5.289
2.111 2.111 -5.289
Cu Ge Pb
2 2 1
direct
0.250 0.750 0.500
0.750 0.250 0.500
0.123 0.123 0.000
0.877 0.877 0.000
0.500 0.500 0.000
```

Computed properties:
Space group = I4/mmm (139)
Crystal system = tetragonal

---

c) First-principles (PBE) data for an optimized crystal structure of Cu2Ge2Pb, as listed in the Alexandria database.

POSCAR file:
```
Cu2Ge2Pb
1.0
7.601 0.000 0.000
0.000 7.601 0.000
0.000 0.000 3.198
Cu Ge Pb
4 4 2
direct
0.129 0.371 0.000
0.371 0.871 0.000
0.629 0.129 0.000
0.871 0.629 0.000
0.148 0.648 0.500
0.352 0.148 0.500
0.648 0.852 0.500
0.852 0.352 0.500
0.000 0.000 0.000
0.500 0.500 0.000
```

Computed properties:
Space group = P4/mbm (127)
Crystal system = tetragonal

---

Most stable structure - b); separation to the second - 105 meV per atom.

---

a) First-principles (PBE) data for an optimized crystal structure of CuGePb, as listed in the Alexandria database.

POSCAR file:
```
CuGePb
1.0
0.000 4.581 10.376
2.656 0.000 10.376
2.656 4.581 0.000
Cu Ge Pb
4 4 4
direct
0.002 0.002 0.248
0.248 0.248 0.002
0.752 0.752 0.998
0.998 0.998 0.752
0.280 0.280 0.470
0.470 0.470 0.280
0.530 0.530 0.720
0.720 0.720 0.530
0.044 0.706 0.044
0.294 0.956 0.294
0.706 0.044 0.706
0.956 0.294 0.956
```

Computed properties:
Space group = Fddd (70)
Crystal system = orthorhombic

---

b) First-principles (PBE) data for an optimized crystal structure of CuGePb, as listed in the Alexandria database.

POSCAR file:
```
CuGePb
1.0
4.156 0.000 0.000
-2.078 3.599 0.000
0.000 0.000 4.410
Cu Ge Pb
1 1 1
direct
0.000 0.000 0.000
0.667 0.333 0.000
0.333 0.667 0.500
```

Computed properties:
Space group = P-6m2 (187)
Crystal system = hexagonal

---

Most stable structure - b); separation to the second - 69 meV per atom.

---

a) First-principles (PBE) data for an optimized crystal structure of CuGePd4, as listed in the Alexandria database.

POSCAR file:
```
CuGePd4
1.0
7.260 0.000 0.000
0.000 2.925 0.000
0.000 0.000 16.820
Cu Ge Pd
4 4 16
direct
0.247 0.250 0.057
0.253 0.750 0.557
0.747 0.250 0.443
0.753 0.750 0.943
0.239 0.250 0.814
0.261 0.750 0.314
0.739 0.250 0.686
0.761 0.750 0.186
0.044 0.750 0.431
0.060 0.750 0.706
0.115 0.750 0.172
0.115 0.750 0.937
0.385 0.250 0.437
0.385 0.250 0.672
0.440 0.250 0.206
0.456 0.250 0.931
0.544 0.750 0.069
0.560 0.750 0.794
0.615 0.750 0.328
0.615 0.750 0.563
0.885 0.250 0.063
0.885 0.250 0.828
0.940 0.250 0.294
0.956 0.250 0.569
```

Computed properties:
Space group = Pnma (62)
Crystal system = orthorhombic

---

b) First-principles (PBE) data for an optimized crystal structure of CuGePd4, as listed in the Alexandria database.

POSCAR file:
```
CuGePd4
1.0
5.152 0.000 0.000
0.000 7.652 0.000
-1.908 0.000 4.564
Cu Ge Pd
2 2 8
direct
0.000 0.000 0.000
0.000 0.500 0.500
0.500 0.000 0.500
0.500 0.500 0.000
0.115 0.161 0.584
0.115 0.339 0.084
0.394 0.666 0.391
0.394 0.834 0.891
0.606 0.166 0.109
0.606 0.334 0.609
0.885 0.661 0.916
0.885 0.839 0.416
```

Computed properties:
Space group = P2_1/c (14)
Crystal system = monoclinic

---

Most stable structure - a); separation to the second - 15 meV per atom.

---

a) First-principles (PBE) data for an optimized crystal structure of Cu2Ge2Pd, as listed in the Alexandria database.

POSCAR file:
```
Cu2Ge2Pd
1.0
-1.848 1.848 5.781
1.848 -1.848 5.781
1.848 1.848 -5.781
Cu Ge Pd
2 2 1
direct
0.102 0.102 0.000
0.898 0.898 0.000
0.250 0.750 0.500
0.750 0.250 0.500
0.500 0.500 0.000
```

Computed properties:
Space group = I4/mmm (139)
Crystal system = tetragonal

---

b) First-principles (PBE) data for an optimized crystal structure of Cu2Ge2Pd, as listed in the Alexandria database.

POSCAR file:
```
Cu2Ge2Pd
1.0
-1.670 1.670 7.040
1.670 -1.670 7.040
1.670 1.670 -7.040
Cu Ge Pd
2 2 1
direct
0.250 0.750 0.500
0.750 0.250 0.500
0.104 0.104 0.000
0.896 0.896 0.000
0.500 0.500 0.000
```

Computed properties:
Space group = I4/mmm (139)
Crystal system = tetragonal

---

c) First-principles (PBE) data for an optimized crystal structure of Cu2Ge2Pd, as listed in the Alexandria database.

POSCAR file:
```
Cu2Ge2Pd
1.0
6.902 0.000 0.000
0.000 6.902 0.000
0.000 0.000 3.151
Cu Ge Pd
4 4 2
direct
0.127 0.373 0.000
0.373 0.873 0.000
0.627 0.127 0.000
0.873 0.627 0.000
0.174 0.674 0.500
0.326 0.174 0.500
0.674 0.826 0.500
0.826 0.326 0.500
0.000 0.000 0.000
0.500 0.500 0.000
```

Computed properties:
Space group = P4/mbm (127)
Crystal system = tetragonal

---

Most stable structure - c); separation to the second - 61 meV per atom.

---

a) First-principles (PBE) data for an optimized crystal structure of Cu4GePd, as listed in the Alexandria database.

POSCAR file:
```
Cu4GePd
1.0
4.269 -1.907 0.000
4.269 1.907 0.000
-1.833 0.000 4.842
Cu Ge Pd
4 1 1
direct
0.164 0.164 0.329
0.178 0.178 0.836
0.822 0.822 0.164
0.836 0.836 0.671
0.500 0.500 0.000
0.500 0.500 0.500
```

Computed properties:
Space group = C2/m (12)
Crystal system = monoclinic

---

b) First-principles (PBE) data for an optimized crystal structure of Cu4GePd, as listed in the Alexandria database.

POSCAR file:
```
Cu4GePd
1.0
0.000 3.443 3.443
3.443 0.000 3.443
3.443 3.443 0.000
Cu Ge Pd
4 1 1
direct
0.125 0.125 0.125
0.125 0.125 0.626
0.125 0.626 0.125
0.626 0.125 0.125
0.500 0.500 0.500
0.750 0.750 0.750
```

Computed properties:
Space group = F-43m (216)
Crystal system = cubic

---

Most stable structure - a); separation to the second - 139 meV per atom.